Computed, not measured: a PBEsol-optimized structure of BeSnTe2 at the SCAN level of DFT.

Output
Crystal system: tetragonal
ΔE_f (raw) in eV/atom: -0.099

Cell lengths 7.167, 7.167, 8.401 Å; angles 90.00, 90.00, 90.00 degrees
Space group I-42d (No. 122)
Symmetry-distinct sites (fractional):
Be 0.000 0.000 0.000 [4 per cell]
Sn 0.000 0.000 0.500 [4 per cell]
Te 0.174 0.250 0.125 [8 per cell]


Computed, not measured: a PBEsol-optimized structure of Ga2BiPb2 at the SCAN level of DFT.

Output
Crystal system: tetragonal
E_form in eV per atom: 0.12

Cell lengths 3.785, 3.785, 18.191 Å; angles 90.00, 90.00, 90.00 degrees
Space group I4/mmm (No. 139)
Symmetry-distinct sites (fractional):
Ga 0.000 0.500 0.250 [4 per cell]
Bi 0.000 0.000 0.000 [2 per cell]
Pb 0.000 0.000 0.386 [4 per cell]


Record order is preserved below.
Relative energy among the computed polymorphs: 0.0000; 0.0000 eV per atom
Record order is preserved below.
VASP energy: -28.7928; -52.4460 eV/atom